First-principles (PBE) data for an optimized crystal structure of BeZn2Fe2, as listed in the Alexandria database.

Cell lengths 5.585, 5.585, 3.944 Å; angles 90.00, 90.00, 90.00 degrees
Space group P4/mbm (No. 127)
One atom of each set of equivalent atoms:
Be: 0.000 0.000 0.000 (multiplicity 2)
Zn: 0.166 0.334 0.500 (multiplicity 4)
Fe: 0.143 0.643 0.000 (multiplicity 4)

Output
Total magnetization, μB per formula unit: 3.11
ΔE_f, eV per formula unit: 0.66

First-principles (PBE) data for an optimized crystal structure of BeZn2Fe, as listed in the Alexandria database.

Cell lengths 2.573, 3.684, 5.090 Å; angles 90.00, 90.00, 90.00 degrees
Space group Pmmm (No. 47)
One atom of each set of equivalent atoms:
Be: 0.000 0.000 0.000 (multiplicity 1)
Zn: 0.500 0.500 0.248 (multiplicity 2)
Fe: 0.000 0.000 0.500 (multiplicity 1)

Output
Total magnetization, μB per formula unit: 2.09
ΔE_f, eV per formula unit: 0.51

First-principles (PBE) data for an optimized crystal structure of BeZn2Fe, as listed in the Alexandria database.

Cell lengths 2.720, 4.115, 8.383 Å; angles 90.00, 90.00, 90.00 degrees
Space group Immm (No. 71)
One atom of each set of equivalent atoms:
Be: 0.000 0.000 0.000 (multiplicity 2)
Zn: 0.000 0.500 0.267 (multiplicity 4)
Fe: 0.000 0.000 0.500 (multiplicity 2)

Output
Total magnetization, μB per formula unit: 1.75
ΔE_f, eV per formula unit: 0.43

First-principles (PBE) data for an optimized crystal structure of BeZn2Fe, as listed in the Alexandria database.

Cell lengths 2.575, 3.930, 4.886 Å; angles 90.00, 104.56, 90.00 degrees
Space group P2/m (No. 10)
One atom of each set of equivalent atoms:
Be: 0.000 0.000 0.000 (multiplicity 1)
Zn: 0.162 0.500 0.758 (multiplicity 2)
Fe: 0.500 0.000 0.500 (multiplicity 1)

Output
Total magnetization, μB per formula unit: 2.02
ΔE_f, eV per formula unit: 0.42

First-principles (PBE) data for an optimized crystal structure of BeZn2Fe, as listed in the Alexandria database.

Cell lengths 4.994, 7.497, 2.563 Å; angles 90.00, 90.00, 90.00 degrees
Space group Cmmm (No. 65)
One atom of each set of equivalent atoms:
Be: 0.000 0.000 0.000 (multiplicity 2)
Zn: 0.250 0.250 0.500 (multiplicity 4)
Fe: 0.000 0.500 0.000 (multiplicity 2)

Output
Total magnetization, μB per formula unit: 1.88
ΔE_f, eV per formula unit: 0.35

First-principles (PBE) data for an optimized crystal structure of BeZn2Fe, as listed in the Alexandria database.

Cell lengths 3.528, 3.528, 7.650 Å; angles 90.00, 90.00, 90.00 degrees
Space group I-4m2 (No. 119)
One atom of each set of equivalent atoms:
Be: 0.000 0.000 0.000 (multiplicity 2)
Zn: 0.000 0.000 0.500 (multiplicity 2)
Zn: 0.000 0.500 0.250 (multiplicity 2)
Fe: 0.000 0.500 0.750 (multiplicity 2)

Output
Total magnetization, μB per formula unit: 1.59
ΔE_f, eV per formula unit: 0.50

no.,E_tot (eV per cell)
1,-45.08
2,-14.22
3,-28.62
4,-14.32
5,-28.77
6,-28.48